The following is a PBE calculation of a relaxed CaTcAs crystal, from the Alexandria database.

Computed properties:
* SG: P4/nmm, No. 129
* energy relative to the lowest polymorph listed for this composition: 0.000 eV per atom
* ΔH_f (0 K): -0.514 eV/atom
* magnetization: 0.00 μB/cell
* energy: -6.186 eV/atom

Cell: 4.2597 4.2597 6.8343 Å, 90.00 90.00 90.00°
Closest atoms and distances in Å follow each position.
Positions (direct):
Ca 0.2500 0.2500 0.1738  4 Tc 3.08, 5 As 3.13-3.23
Ca 0.7500 0.7500 0.8262  4 Tc 3.08, 5 As 3.13-3.23
Tc 0.2500 0.7500 0.5000  4 As 2.53
Tc 0.7500 0.2500 0.5000  4 As 2.53
As 0.2500 0.2500 0.7011  4 Tc 2.53
As 0.7500 0.7500 0.2989  4 Tc 2.53